DFT (GGA-PBE) results for a relaxed structure of ScSn2Rh.

abc: 10.3999 10.3999 10.3999
angles: 156.63 156.63 33.29
Element x y z (fractional)
Sc1 0.0000 0.0000 0.0000
Sc2 0.7500 0.2500 0.5000
Sn1 0.1387 0.6250 0.0137
Sn2 0.3750 0.3887 0.5137
Sn3 0.6113 0.1250 0.9863
Sn4 0.8750 0.8613 0.4863
Rh1 0.2500 0.7500 0.5000
Rh2 0.5000 0.5000 0.0000

Summary:
Space group ... I-42d
V ... 177 Å³/cell
Energy of formation ... -0.23 eV/atom
N(E_F) ... 7.450 states/eV/cell

***

DFT (GGA-PBE) results for a relaxed structure of Ac2Er3Hg4.

abc: 9.6775 9.6775 8.4405
angles: 90.00 90.00 136.70
Element x y z (fractional)
Ac1 0.0989 0.9011 0.9077
Ac2 0.4011 0.5989 0.4077
Ac3 0.5989 0.4011 0.5923
Ac4 0.9011 0.0989 0.0923
Er1 0.0000 0.0000 0.5000
Er2 0.0159 0.4841 0.7500
Er3 0.4841 0.0159 0.2500
Er4 0.5000 0.5000 0.0000
Er5 0.5159 0.9841 0.7500
Er6 0.9841 0.5159 0.2500
Hg1 0.1732 0.8268 0.5278
Hg2 0.1870 0.3130 0.7500
Hg3 0.3130 0.1870 0.2500
Hg4 0.3268 0.6732 0.0278
Hg5 0.6732 0.3268 0.9722
Hg6 0.6870 0.8130 0.7500
Hg7 0.8130 0.6870 0.2500
Hg8 0.8268 0.1732 0.4722

Summary:
Space group ... Cmce
V ... 542 Å³/cell
Energy of formation ... -0.36 eV/atom
N(E_F) ... 17.658 states/eV/cell

***

DFT (GGA-PBE) results for a relaxed structure of La3HoRh8.

abc: 9.3991 9.3991 9.3991
angles: 33.48 33.48 33.48
Element x y z (fractional)
La1 0.0000 0.0000 0.0000
La2 0.1249 0.1249 0.1249
La3 0.6248 0.6248 0.6248
Ho1 0.4996 0.4996 0.4996
Rh1 0.0612 0.0612 0.5605
Rh2 0.0612 0.5605 0.0612
Rh3 0.0649 0.5631 0.5631
Rh4 0.3123 0.3123 0.3123
Rh5 0.5605 0.0612 0.0612
Rh6 0.5631 0.0649 0.5631
Rh7 0.5631 0.5631 0.0649
Rh8 0.8126 0.8126 0.8126

Summary:
Space group ... R3m
V ... 225 Å³/cell
Energy of formation ... -0.70 eV/atom
N(E_F) ... 6.553 states/eV/cell